1.
First-principles (GGA-PBE) data for an optimized crystal structure of Hf4FeS8, as listed in Alexandria via LeMat-Bulk.

a = 6.867 Å, b = 6.867 Å, c = 8.550 Å
α = 54.23°, β = 54.23°, γ = 63.18°
Sites, in units of the cell vectors:
Hf: 0.747 0.747 0.996
Hf: 0.253 0.253 0.004
Hf: 0.755 0.245 0.500
Hf: 0.245 0.755 0.500
Fe: 0.000 0.000 0.000
S: 0.711 0.711 0.329
S: 0.210 0.210 0.336
S: 0.717 0.208 0.834
S: 0.208 0.717 0.834
S: 0.792 0.283 0.166
S: 0.283 0.792 0.166
S: 0.790 0.790 0.664
S: 0.289 0.289 0.671

- D(E_F) (states/eV/cell) = 7.607
- raw formation energy (eV per atom) = -1.39
- calculated volume (Å³/atom) = 20.13

2.
First-principles (GGA-PBE) data for an optimized crystal structure of RePtAu2, as listed in Alexandria via LeMat-Bulk.

a = 2.822 Å, b = 2.822 Å, c = 8.241 Å
α = 90.00°, β = 90.00°, γ = 90.00°
Sites, in units of the cell vectors:
Au: 0.000 0.000 0.994
Au: 0.000 0.000 0.506
Pt: 0.500 0.500 0.250
Re: 0.500 0.500 0.750

- calculated formation energy (kJ/mol of formula units) = 145
- offset from the most stable computed form (eV/atom) = 0.256
- D(E_F) (states/eV/cell) = 4.993
- calculated volume (Å³/atom) = 16.41